Record 1
Below is crystalline KSc2Tc at its relaxed geometry, with properties calculated at the PBE level.

Lattice parameters (Å, degrees): 3.6704 3.6704 8.5041 90.00 90.00 90.00
Last column: nearest neighbours and their distance in Å.
Sites, in units of the cell vectors:
K (0.0000, 0.0000, 0.0000)  1 Sc 3.42, 4 K 3.67, 4 Tc 3.76
Sc (0.0000, 0.0000, 0.5981)  4 Tc 2.69
Sc (0.5000, 0.5000, 0.3866)  1 Tc 2.49
Tc (0.5000, 0.5000, 0.6797)  5 Sc 2.49-2.69

Values from the calculation:
The calculation puts the calculated volume at 115 Å³ per cell. Its calculated total energy is -22.7 eV per cell. As for the total magnetization: 0.000 μB per cell. The density of states at the Fermi level is 2.5 states/eV per cell.

---

Record 2
Below is crystalline K2ScTc at its relaxed geometry, with properties calculated at the PBE level.

Lattice parameters (Å, degrees): 7.4258 7.4258 7.4258 155.11 127.39 59.05
Last column: nearest neighbours and their distance in Å.
Sites, in units of the cell vectors:
K (0.0000, 0.0000, 0.0000)  2 K 3.20, 2 Tc 3.44
K (0.6988, 0.1988, 0.5000)  2 K 3.20
Sc (0.3773, 0.3773, 0.0000)  2 Tc 2.43
Tc (0.2354, 0.7354, 0.5000)  2 Sc 2.43

Values from the calculation:
The calculation puts the calculated volume at 136 Å³ per cell. Its calculated total energy is -15.6 eV per cell. As for the total magnetization: 0.332 μB per cell. The density of states at the Fermi level is 4.2 states/eV per cell.

---

Record 3
Below is crystalline KScTc2 at its relaxed geometry, with properties calculated at the PBE level.

Lattice parameters (Å, degrees): 5.9254 5.9254 5.9254 151.77 129.50 58.86
Last column: nearest neighbours and their distance in Å.
Sites, in units of the cell vectors:
K (0.0000, 0.0000, 0.0000)  2 K 2.89, 4 Sc 2.91, 4 Tc 3.12
Sc (0.5000, 0.5000, 0.0000)  4 Tc 2.80, 2 Sc 2.89, 4 K 2.91
Tc (0.2681, 0.7681, 0.5000)  2 Sc 2.80, 6 Tc 2.89-2.94, 2 K 3.12
Tc (0.7319, 0.2319, 0.5000)  2 Sc 2.80, 6 Tc 2.89-2.94, 2 K 3.12

Values from the calculation:
The calculation puts the calculated volume at 75 Å³ per cell. Its calculated total energy is -24.0 eV per cell. As for the total magnetization: 0.001 μB per cell. The density of states at the Fermi level is 5.0 states/eV per cell.

---

Among the records above, which one has the highest total magnetization?
K2ScTc

---

Among the records above, which one has the highest calculated volume?
K2ScTc

---

Which of these has the lowest calculated volume?
KScTc2

---

Look up the calculated volume of the second one.
136 Å³ per cell